Density functional theory data (GGA-PBE) for a relaxed PrGdSc2 crystal.

Values from the calculation:
* ΔE to the lowest computed polymorph: 0.00 kJ per mole of atoms
* volume: 116 Å³ per cell
* calculated formation energy: 0.053 eV per atom

Cell lengths 5.011, 5.011, 4.612 Å; angles 90.00, 90.00, 90.00 degrees
Space group P4/mmm (No. 123)
Inequivalent atoms, fractional coordinates:
Pr 0.000 0.000 0.000 (multiplicity 1)
Gd 0.500 0.500 0.000 (multiplicity 1)
Sc 0.000 0.500 0.500 (multiplicity 2)

---

Density functional theory data (GGA-PBE) for a relaxed ScRu2Rh crystal.

Values from the calculation:
* volume: 250 Å³ per cell
* calculated formation energy: -0.093 eV per atom

Cell lengths 6.300, 6.300, 6.300 Å; angles 90.00, 90.00, 90.00 degrees
Space group F-43m (No. 216)
Inequivalent atoms, fractional coordinates:
Sc 0.000 0.000 0.000 (multiplicity 4)
Ru 0.000 0.000 0.500 (multiplicity 4)
Ru 0.250 0.250 0.750 (multiplicity 4)
Rh 0.250 0.250 0.250 (multiplicity 4)

---

> calculated formation energy of number 1 (PrGdSc2)?

0.053 eV per atom

---

> Look up the volume of the second one.

250 Å³ per cell

---

> Which value of volume does entry 1 give?

116 Å³ per cell